[1]
4
Lattice="5.164 -1.627 0.000 5.164 1.627 0.000 -2.029 0.000 4.110" Properties=species:S:1:pos:R:3 comment="Ta2TcAg (PBE, relaxed)" e_form_ev_per_atom=0.197 magmom_total_mub_per_fu=0.00 energy_ev_per_atom=-9.0337 n_ef_per_ev_atom=1.0558 vol_a3_per_cell=69 pbc="T T T"
Ta 0.000 0.000 0.000
Ta 0.996 0.000 3.049
Tc 4.325 0.000 2.137
Ag 7.357 0.000 1.084


[2]
11
Lattice="-1.878 4.281 7.357 1.878 -4.281 7.357 1.878 4.281 -7.357" Properties=species:S:1:pos:R:3 comment="Hf3Nb4Sb4 (PBE, relaxed)" magmom_total_mub_per_fu=0.00 energy_ev_per_atom=-8.0823 e_form_raw_ev_per_atom=-0.207 n_ef_per_ev_atom=0.5971 vol_a3_per_cell=237 pbc="T T T"
Hf 0.000 0.000 0.000
Hf 1.878 0.000 5.680
Hf 0.000 4.281 1.677
Nb 1.878 1.778 -2.594
Nb 1.878 1.778 2.594
Nb 0.000 2.503 4.764
Nb 0.000 2.503 9.951
Sb 0.000 0.000 3.414
Sb 1.878 2.599 0.000
Sb 0.000 1.682 7.357
Sb 0.000 0.000 11.300